# BaNiRu2

A geometry-optimized BaNiRu2 structure (PBE, the Alexandria database).

Geometry as POSCAR:
```
BaNiRu2
1.0
4.2733 -0.0020 -0.0058
2.1382 3.6999 -0.0058
2.1507 1.2404 5.7599
Ba Ni Ru
1 1 2
direct
0.7500 0.7500 0.7500 Ba
0.2500 0.2500 0.2500 Ni
0.9357 0.9357 0.1929 Ru
0.5643 0.5643 0.3071 Ru
```

Values from the calculation:
E above lowest polymorph in meV/atom: 15
Magnetization in Bohr magnetons per cell: 0.00
Space-group type: R-3m (166)
Total DFT energy (no corrections) in eV per atom: -6.302
DOS(E_F) in states/eV/cell: 4.9